5
Lattice="4.184 0.000 0.000 0.000 4.441 0.000 0.000 0.000 4.184" Properties=species:S:1:pos:R:3 comment="CsNi2BMo, relaxed, DFT PBE" ef_ev_per_fu=5.0 magmom_total_mub_per_cell=1.42 mass_density_g_cm3=7.62 dft_energy_ev_per_atom=-4.98 sg="P4/mmm, No. 123" pbc="T T T"
Cs 2.092 2.220 2.092
Ni 0.000 0.000 2.092
Ni 2.092 0.000 0.000
Mo 0.000 2.220 0.000
B 0.000 0.000 0.000